Record 1
## VFeRhW (PBE-GGA)

Data for a geometry-optimized VFeRhW structure.

## Properties
crystal system = cubic

a b c (Å): 6.0488 6.0488 6.0488
angles (deg): 90.00 90.00 90.00
Space group F-43m (No. 216)
Inequivalent atoms, fractional coordinates:
V 0.0000 0.0000 0.0000 [4 per cell]
Fe 0.0000 0.0000 0.5000 [4 per cell]
Rh 0.2500 0.2500 0.7500 [4 per cell]
W 0.2500 0.2500 0.2500 [4 per cell]

=====

Record 2
## Ba2Cd4Bi3Pb (PBE-GGA)

Data for a geometry-optimized Ba2Cd4Bi3Pb structure.

## Properties
crystal system = tetragonal

a b c (Å): 5.4271 5.4271 11.4919
angles (deg): 90.00 90.00 90.00
Space group P-4m2 (No. 115)
Inequivalent atoms, fractional coordinates:
Ba 0.0000 0.5000 0.2481 [2 per cell]
Cd 0.0000 0.0000 0.5000 [1 per cell]
Cd 0.0000 0.5000 0.8785 [2 per cell]
Cd 0.5000 0.5000 0.5000 [1 per cell]
Bi 0.0000 0.0000 0.0000 [1 per cell]
Bi 0.0000 0.5000 0.6243 [2 per cell]
Pb 0.5000 0.5000 0.0000 [1 per cell]

=====

Record 3
## DyHfCuRu (PBE-GGA)

Data for a geometry-optimized DyHfCuRu structure.

## Properties
crystal system = cubic

a b c (Å): 6.6757 6.6757 6.6757
angles (deg): 90.00 90.00 90.00
Space group F-43m (No. 216)
Inequivalent atoms, fractional coordinates:
Dy 0.0000 0.0000 0.0000 [4 per cell]
Hf 0.0000 0.0000 0.5000 [4 per cell]
Cu 0.2500 0.2500 0.7500 [4 per cell]
Ru 0.2500 0.2500 0.2500 [4 per cell]

=====

Record 4
## Sc2ReHg (PBE-GGA)

Data for a geometry-optimized Sc2ReHg structure.

## Properties
crystal system = orthorhombic

a b c (Å): 2.9825 4.5605 5.8109
angles (deg): 90.00 90.00 90.00
Space group Pmm2 (No. 25)
Inequivalent atoms, fractional coordinates:
Sc 0.0000 0.0000 0.0000 [1 per cell]
Sc 0.5000 0.5000 0.3102 [1 per cell]
Re 0.5000 0.5000 0.8350 [1 per cell]
Hg 0.0000 0.0000 0.5185 [1 per cell]

=====

Formation enthalpy at 0 K for the records above, in order: 0.0001; -0.3581; -0.3221; 0.0953 eV per atom